# 1
YCdAg2, relaxed, DFT PBE-GGA; calculated total energy = -28.48 eV/cell; space group = Pmmn, No. 59; ΔH_f (0 K) = -0.307 eV/atom; total magnetic moment = 0.004 μB/atom
1.0
5.0445 0.0000 0.0000
0.0000 6.6234 0.0000
0.0000 0.0000 5.1041
Cd Ag Y
2 4 2
direct
0.0000 0.0000 0.7081
0.5000 0.5000 0.2919
0.5000 0.2529 0.8170
0.5000 0.7471 0.8170
0.0000 0.2471 0.1830
0.0000 0.7529 0.1830
0.5000 0.0000 0.3156
0.0000 0.5000 0.6844

***

# 2
Gd2TmAl3Cu2Pd, relaxed, DFT PBE-GGA; calculated total energy = -42.80 eV/cell; space group = Amm2, No. 38; total magnetic moment = 0.002 μB/atom
1.0
4.0912 0.0000 0.0000
0.0000 6.1125 3.5094
0.0000 -6.1125 3.5094
Cu Gd Tm Al Pd
2 2 1 3 1
direct
0.5000 0.3353 0.6614
0.5000 0.6614 0.3353
0.0000 0.5801 0.9988
0.0000 0.9988 0.5801
0.0000 0.4176 0.4176
0.5000 0.7610 0.7610
0.5000 0.2393 0.0022
0.5000 0.0022 0.2393
0.0000 0.0043 0.0043

***

# 3
CsLuSn, relaxed, DFT PBE-GGA; calculated total energy = -8.59 eV/cell; space group = F-43m, No. 216; total magnetic moment = 0.000 μB/atom; offset from the most stable computed form = 0.00 eV/f.u.
1.0
-2.1528 -4.3530 -2.4143
-5.3864 -0.5922 -0.2207
-2.5946 0.5297 -4.7328
Cs Sn Lu
1 1 1
direct
0.2500 0.2500 0.2500
0.7500 0.7500 0.7500
0.0000 0.0000 0.0000

***

# 4
GdY2Tm, relaxed, DFT PBE-GGA; calculated total energy = -44.07 eV/cell; space group = Ama2, No. 40; ΔH_f (0 K) = 0.006 eV/atom; total magnetic moment = 0.023 μB/atom
1.0
5.6382 0.0000 0.0000
0.0000 6.2748 3.6250
0.0000 -6.2748 3.6250
Tm Y Gd
2 4 2
direct
0.2500 0.1668 0.3324
0.7500 0.3324 0.1668
0.7500 0.8334 0.6674
0.2500 0.6674 0.8334
0.2500 0.1664 0.8341
0.7500 0.8341 0.1664
0.2500 0.6661 0.3333
0.7500 0.3333 0.6661

***

# 5
CuAg4, relaxed, DFT PBE-GGA; calculated total energy = -29.46 eV/cell; space group = P2_1/m, No. 11; ΔH_f (0 K) = 0.057 eV/atom; offset from the most stable computed form = 0.16 eV/f.u.
1.0
4.9802 0.0000 0.0000
0.0000 2.8991 0.0000
-1.5772 0.0000 11.6938
Ag Cu
8 2
direct
0.3499 0.2500 0.2860
0.7486 0.2500 0.5024
0.6501 0.7500 0.7140
0.1551 0.2500 0.7039
0.0651 0.7500 0.9048
0.8449 0.7500 0.2961
0.9349 0.2500 0.0952
0.2514 0.7500 0.4976
0.4526 0.7500 0.0897
0.5474 0.2500 0.9103

***

# 6
RbPbAu3S4, relaxed, DFT PBE-GGA; calculated total energy = -30.54 eV/cell; space group = P-43m, No. 215
1.0
-1.3862 -5.0411 -3.8547
-1.3471 -3.6219 5.2211
-6.2013 1.9136 -0.2725
S Au Pb Rb
4 3 1 1
direct
0.2215 0.7785 0.2215
0.2215 0.2215 0.7785
0.7785 0.2215 0.2215
0.7785 0.7785 0.7785
0.0000 0.0000 0.5000
0.5000 0.0000 0.0000
0.0000 0.5000 0.0000
0.0000 0.0000 0.0000
0.5000 0.5000 0.5000

***

Please write out number 4 again, unchanged.
GdY2Tm, relaxed, DFT PBE-GGA; calculated total energy = -44.07 eV/cell; space group = Ama2, No. 40; ΔH_f (0 K) = 0.006 eV/atom; total magnetic moment = 0.023 μB/atom
1.0
5.6382 0.0000 0.0000
0.0000 6.2748 3.6250
0.0000 -6.2748 3.6250
Tm Y Gd
2 4 2
direct
0.2500 0.1668 0.3324
0.7500 0.3324 0.1668
0.7500 0.8334 0.6674
0.2500 0.6674 0.8334
0.2500 0.1664 0.8341
0.7500 0.8341 0.1664
0.2500 0.6661 0.3333
0.7500 0.3333 0.6661

***

Question: Which formula does entry 5 have?
Answer: CuAg4